## CdInHg3Bi (PBE)

Data for an optimized crystal structure of CdInHg3Bi.

abc: 8.758 4.293 9.466
angles: 90.00 109.46 90.00
Space group P2_1/m (No. 11)
Symmetry-distinct sites (fractional):
Cd 0.146 0.250 0.196
In 0.389 0.750 0.775
Hg 0.114 0.250 0.863
Hg 0.346 0.750 0.082
Hg 0.377 0.750 0.416
Bi 0.138 0.250 0.533

DFT formation energy: 0.03 eV per atom
Spin magnetization: 0.00 Bohr magnetons per cell
Theoretical density: 10.27 g/cm3
DOS(E_F): 3.37 states/eV/cell